[1]
# MnHgBr2, relaxed, DFT PBE
data_MnHgBr2
_chemical_formula_sum 'Mn2 Hg2 Br4'
_cell_length_a 6.681
_cell_length_b 3.860
_cell_length_c 10.469
_cell_angle_alpha 90.00
_cell_angle_beta 101.43
_cell_angle_gamma 90.00
_symmetry_space_group_name_H-M 'C 1 2/m 1'
_symmetry_Int_Tables_number 12
_symmetry_space_group_name_Hall '-C 2y'
loop_
_atom_site_label
_atom_site_fract_x
_atom_site_fract_y
_atom_site_fract_z
Mn1 0.000 0.000 0.000
Hg1 0.000 0.500 0.500
Br1 0.213 0.500 0.148
# Energy relative to the elements, uncorrected (kcal/mol of atoms): -13.085

=====

[2]
# Na2Np2MnS6, relaxed, DFT PBE
data_Na2Np2MnS6
_chemical_formula_sum 'Na4 Np4 Mn2 S12'
_cell_length_a 6.688
_cell_length_b 11.640
_cell_length_c 7.065
_cell_angle_alpha 90.00
_cell_angle_beta 107.80
_cell_angle_gamma 90.00
_symmetry_space_group_name_H-M 'C 1 2/m 1'
_symmetry_Int_Tables_number 12
_symmetry_space_group_name_Hall '-C 2y'
loop_
_atom_site_label
_atom_site_fract_x
_atom_site_fract_y
_atom_site_fract_z
Na1 0.000 0.165 0.000
Np1 0.000 0.335 0.500
Mn1 0.000 0.000 0.500
S1 0.232 0.165 0.715
S2 0.245 0.000 0.289
# Energy relative to the elements, uncorrected (kcal/mol of atoms): -26.888

=====

no.,raw total energy (eV/f.u.)
1,-15.1
2,-75.3